Record 1
DFT (GGA-PBE) results for crystalline Pm2IrPbO8 at its relaxed geometry.

Cell lengths 5.1133, 5.1174, 6.9475 Å; angles 90.00, 89.99, 91.23 degrees
Closest atoms and distances in Å follow each position.
Element x y z (fractional)
O (0.7365, 0.7355, 0.9990)  1 Ir 1.89
O (0.6982, 0.6972, 0.5009)  1 Pb 2.16, 2 Pm 2.25
O (0.1776, 0.8221, 0.2139)  1 Ir 1.97
O (0.1789, 0.8235, 0.7861)  1 Ir 1.97
O (0.2635, 0.2645, 0.0010)  1 Ir 1.89
O (0.8224, 0.1779, 0.7861)  1 Ir 1.97
O (0.8211, 0.1765, 0.2139)  1 Ir 1.97
O (0.3018, 0.3028, 0.4991)  1 Pb 2.16, 2 Pm 2.25
Ir (0.0000, 0.0000, 0.0000)  6 O 1.89-1.97
Pb (0.0000, 0.0000, 0.5000)  6 O 2.16-2.38
Pm (0.4988, 0.4989, 0.7523)  6 O 2.25-2.41
Pm (0.5012, 0.5011, 0.2477)  6 O 2.25-2.41

- SG = C2/m (12)
- formation energy (no corrections) (kJ/mol of formula units) = -2087

---

Record 2
DFT (GGA-PBE) results for crystalline PrIrPbO6 at its relaxed geometry.

Cell lengths 5.8230, 5.8230, 9.3181 Å; angles 90.00, 90.00, 120.00 degrees
Closest atoms and distances in Å follow each position.
Element x y z (fractional)
Ir (0.3333, 0.6667, 0.7500)  6 O 1.94
Ir (0.6667, 0.3333, 0.2500)  6 O 1.94
O (0.3930, 0.0554, 0.1326)  1 Ir 1.94
O (0.3377, 0.9446, 0.6326)  1 Ir 1.94
O (0.6070, 0.6623, 0.6326)  1 Ir 1.94
O (0.3930, 0.3377, 0.3674)  1 Ir 1.94
O (0.9446, 0.3377, 0.1326)  1 Ir 1.94
O (0.6623, 0.0554, 0.3674)  1 Ir 1.94
O (0.0554, 0.6623, 0.8674)  1 Ir 1.94
O (0.3377, 0.3930, 0.8674)  1 Ir 1.94
O (0.6070, 0.9446, 0.8674)  1 Ir 1.94
O (0.0554, 0.3930, 0.6326)  1 Ir 1.94
O (0.9446, 0.6070, 0.3674)  1 Ir 1.94
O (0.6623, 0.6070, 0.1326)  1 Ir 1.94
Pb (0.0000, 0.0000, 0.5000)  6 O 2.48
Pb (0.0000, 0.0000, 0.0000)  6 O 2.48
Pr (0.3333, 0.6667, 0.2500)  6 O 2.38
Pr (0.6667, 0.3333, 0.7500)  6 O 2.38

- SG = P-31c (163)
- formation energy (no corrections) (kJ/mol of formula units) = -1212

---

| no. | magnetization (μB/f.u.) | Fermi-level density of states (states/eV per atom) |
| --- | --- | --- |
| 1 | 1.00 | 0.36 |
| 2 | 1.44 | 0.62 |